# CsCaY2O

A relaxed CsCaY2O crystal (PBE, Alexandria).

Computed properties:
SG: No. 123
calculated volume: 150.4 Å³ per cell
mass density: 4.1 g/cm3
total moment: 0.00 μB/atom
raw formation energy: -464 meV/atom

Geometry as CIF:
```
data_CsCaY2O
_cell_length_a 4.8573
_cell_length_b 6.3730
_cell_length_c 4.8573
_cell_angle_alpha 90.00
_cell_angle_beta 90.00
_cell_angle_gamma 90.00
_symmetry_space_group_name_H-M 'P 1'
_symmetry_Int_Tables_number 1
_symmetry_space_group_name_Hall 'P 1'
loop_
_atom_site_label
_atom_site_type_symbol
_atom_site_fract_x
_atom_site_fract_y
_atom_site_fract_z
_atom_site_occupancy
Cs1 Cs 0.5000 0.5000 0.5000 1
O1 O 0.0000 0.0000 0.0000 1
Y1 Y 0.0000 0.0000 0.5000 1
Y2 Y 0.5000 0.0000 0.0000 1
Ca1 Ca 0.0000 0.5000 0.0000 1
```